No. 1
A plane-wave DFT calculation with GGA-PBE was carried out for crystalline NdMg2Si2 at its relaxed geometry.

Cell: 4.613 4.254 11.079 Å, 90.00 96.04 90.00°
Positions (direct):
Nd 0.181 0.250 0.244
Nd 0.819 0.750 0.756
Mg 0.249 0.750 0.498
Mg 0.348 0.250 0.885
Mg 0.652 0.750 0.115
Mg 0.751 0.250 0.502
Si 0.131 0.750 0.012
Si 0.286 0.250 0.649
Si 0.714 0.750 0.351
Si 0.869 0.250 0.988

---

No. 2
A plane-wave DFT calculation with GGA-PBE was carried out for crystalline Nd6MgSi2 at its relaxed geometry.

Cell: 8.863 8.863 8.863 Å, 110.95 110.61 106.89°
Positions (direct):
Nd 0.040 0.247 0.794
Nd 0.178 0.276 0.454
Nd 0.178 0.724 0.902
Nd 0.323 0.024 0.701
Nd 0.323 0.622 0.299
Nd 0.453 0.247 0.206
Nd 0.547 0.753 0.794
Nd 0.677 0.378 0.701
Nd 0.677 0.976 0.299
Nd 0.822 0.276 0.098
Nd 0.822 0.724 0.546
Nd 0.960 0.753 0.206
Mg 0.000 0.000 0.000
Mg 0.500 0.500 0.000
Si 0.113 0.613 0.500
Si 0.357 0.000 0.357
Si 0.643 0.000 0.643
Si 0.887 0.387 0.500

---

No. 3
A plane-wave DFT calculation with GGA-PBE was carried out for crystalline NdMgZnSi at its relaxed geometry.

Cell: 4.923 4.923 4.923 Å, 60.00 60.00 60.00°
Positions (direct):
Nd 0.000 0.000 0.000
Mg 0.500 0.500 0.500
Zn 0.750 0.750 0.750
Si 0.250 0.250 0.250

---

We obtain Fermi-level density of states values of 4.09; 17.58; 2.88 states/eV/cell for the records listed above, in that order.
We obtain energy relative to the elements, uncorrected values of -324.7; -355.6; -247.4 meV/atom for the records listed above, in that order.
We obtain total energy values of -4.0853; -4.9164; -3.5123 eV/atom for the records listed above, in that order.